Entry 1:
PBE-GGA PmDy2HoSc2, optimized geometry; DOS at the Fermi energy = 10.4 states/eV/f.u.; magnetization = 0.00 μB per formula unit; energy of formation = 0.28 eV/atom
1.0
3.345 0.000 0.000
0.000 6.273 0.000
0.000 0.000 17.401
Pm Dy Sc Ho
2 4 4 2
Direct
0.500 0.500 0.500
0.000 0.000 0.000
0.500 0.721 0.692
0.500 0.279 0.308
0.000 0.779 0.192
0.000 0.221 0.808
0.000 0.718 0.855
0.500 0.782 0.355
0.000 0.282 0.145
0.500 0.218 0.645
0.500 0.500 0.000
0.000 0.000 0.500

Entry 2:
PBE-GGA PmDy4Ho2Sc, optimized geometry; DOS at the Fermi energy = 17.6 states/eV/f.u.; magnetization = 3.08 μB per formula unit; energy of formation = 0.44 eV/atom
1.0
-4.290 -2.918 -7.808
-4.766 -6.513 4.770
2.491 10.884 3.205
Sc Dy Pm Ho
2 8 2 4
Direct
0.000 0.500 0.000
0.000 0.500 0.500
0.243 0.259 0.000
0.757 0.741 0.000
0.246 0.742 0.994
0.242 0.746 0.494
0.759 0.743 0.500
0.754 0.258 0.006
0.241 0.257 0.500
0.758 0.254 0.506
0.000 0.000 0.000
0.500 0.500 0.500
0.500 0.000 0.500
0.000 0.000 0.500
0.500 0.000 0.000
0.500 0.500 0.000

Entry 3:
PBE-GGA PmDyHo2Sc4, optimized geometry; DOS at the Fermi energy = 16.9 states/eV/f.u.; magnetization = 3.81 μB per formula unit; energy of formation = 0.44 eV/atom
1.0
-0.712 -6.307 -6.506
-0.511 -6.660 6.164
-4.703 10.246 0.361
Sc Ho Pm Dy
8 4 2 2
Direct
0.750 0.751 0.500
0.251 0.750 0.001
0.250 0.249 0.500
0.750 0.249 0.499
0.250 0.751 0.501
0.749 0.250 0.999
0.749 0.750 0.000
0.251 0.250 0.000
0.500 0.000 0.000
0.000 0.000 0.500
0.500 0.500 0.000
0.500 0.000 0.500
0.000 0.500 0.500
0.000 0.500 0.000
0.000 0.000 0.000
0.500 0.500 0.500

Entry 4:
PBE-GGA PmDy2Ho4Sc, optimized geometry; DOS at the Fermi energy = 17.6 states/eV/f.u.; magnetization = 2.98 μB per formula unit; energy of formation = 0.44 eV/atom
1.0
9.208 -0.041 -1.735
-0.047 9.208 -1.735
-5.799 -5.803 8.216
Ho Pm Dy Sc
8 2 4 2
Direct
0.261 0.741 0.501
0.250 0.248 0.010
0.759 0.239 0.999
0.252 0.250 0.490
0.739 0.259 0.499
0.750 0.752 0.990
0.748 0.750 0.510
0.241 0.761 0.001
0.000 0.500 0.500
0.000 0.500 0.000
0.000 0.000 0.500
0.500 0.500 0.000
0.500 0.000 0.500
0.500 0.000 0.000
0.500 0.500 0.500
0.000 0.000 0.000

Entry 5:
PBE-GGA PmDy3Ho6Sc2, optimized geometry; DOS at the Fermi energy = 16.7 states/eV/f.u.; magnetization = 0.00 μB per formula unit; energy of formation = 0.04 eV/atom
1.0
6.052 0.001 0.008
-3.023 5.243 0.008
-1.021 -1.767 11.410
Ho Pm Sc Dy
6 1 2 3
Direct
0.418 0.082 0.246
0.254 0.254 0.754
0.582 0.918 0.754
0.746 0.746 0.246
0.082 0.418 0.246
0.918 0.582 0.754
0.000 0.000 0.000
0.667 0.333 0.000
0.333 0.667 0.000
0.833 0.167 0.500
0.167 0.833 0.500
0.500 0.500 0.500

Entry 6:
PBE-GGA Pm2Dy6Ho3Sc, optimized geometry; DOS at the Fermi energy = 15.6 states/eV/f.u.; magnetization = 0.00 μB per formula unit; energy of formation = 0.03 eV/atom
1.0
6.112 0.000 0.006
-3.054 5.294 0.006
-1.027 -1.778 11.542
Dy Pm Ho Sc
6 2 3 1
Direct
0.917 0.586 0.750
0.083 0.414 0.250
0.586 0.917 0.750
0.247 0.247 0.749
0.414 0.083 0.250
0.753 0.753 0.251
0.334 0.666 0.000
0.666 0.334 0.000
0.500 0.500 0.500
0.166 0.834 0.500
0.834 0.166 0.500
0.000 0.000 0.000